(1)
Below is InRuCl2 at its PBEsol-relaxed geometry, with properties calculated at the meta-GGA SCAN level.

Cell and atoms, written as POSCAR:
```
InRuCl2
1.0
3.0676 0.0000 0.0000
0.0000 4.3493 0.0000
0.0000 0.0000 5.3322
In Ru Cl
1 1 2
Cartesian
0.0000 0.0000 0.0000 In
1.5338 0.0000 2.6661 Ru
0.0000 2.1747 2.6661 Cl
1.5338 2.1747 0.0000 Cl
```

Computed properties:
- space group = Pmmm (47)
- energy relative to the elements, uncorrected (meV/atom) = 236
- theoretical density (g cm⁻³) = 6.7
- magnetic moment (μB/atom) = 0.34
- E above lowest polymorph (meV per atom) = 179

(2)
Below is Y2ZrIr at its PBEsol-relaxed geometry, with properties calculated at the meta-GGA SCAN level.

Cell and atoms, written as POSCAR:
```
Y2ZrIr
1.0
-1.7438 2.5361 5.2212
1.7438 -2.5361 5.2212
1.7438 2.5361 -5.2212
Y Zr Ir
2 1 1
Cartesian
0.0000 0.0000 0.0000 Y
0.0000 2.5361 2.1634 Y
1.7438 0.0000 3.1108 Zr
0.0000 0.0000 5.0899 Ir
```

Computed properties:
- space group = Imm2 (44)
- theoretical density (g cm⁻³) = 8.3
- DFT formation energy (meV per atom) = -569
- magnetic moment (μB/atom) = 0.00

(3)
Below is LiLa5Ti8O24 at its PBEsol-relaxed geometry, with properties calculated at the meta-GGA SCAN level.

Cell and atoms, written as POSCAR:
```
LiLa5Ti8O24
1.0
7.6754 0.0000 0.0000
0.0000 7.7487 0.0000
0.0000 0.0000 7.7426
Li La Ti O
1 5 8 24
Cartesian
0.0000 0.0000 0.0000 Li
0.0000 3.8743 2.8687 La
0.0000 3.8743 6.8004 La
3.8377 0.0000 6.5922 La
3.8377 3.8743 2.8910 La
3.8377 3.8743 6.6512 La
1.8803 1.8468 4.7644 Ti
1.8803 5.9019 4.7644 Ti
1.9153 1.8672 0.9634 Ti
1.9153 5.8815 0.9634 Ti
5.7601 1.8672 0.9634 Ti
5.7601 5.8815 0.9634 Ti
5.7951 1.8468 4.7644 Ti
5.7951 5.9019 4.7644 Ti
0.0000 1.7719 0.8230 O
0.0000 2.3292 4.8334 O
0.0000 5.4194 4.8334 O
0.0000 5.9768 0.8230 O
1.6113 3.8743 0.9608 O
1.7863 0.0000 5.0322 O
1.8920 2.0769 2.8599 O
1.8920 5.6717 2.8599 O
2.0039 2.1254 6.7323 O
2.0039 5.6233 6.7323 O
2.1333 0.0000 0.6838 O
2.2074 3.8743 4.7400 O
3.8377 1.7749 4.8592 O
3.8377 2.2780 0.9297 O
3.8377 5.4706 0.9297 O
3.8377 5.9738 4.8592 O
5.4680 3.8743 4.7400 O
5.5422 0.0000 0.6838 O
5.6715 2.1254 6.7323 O
5.6715 5.6233 6.7323 O
5.7834 2.0769 2.8599 O
5.7834 5.6717 2.8599 O
5.8891 0.0000 5.0322 O
6.0641 3.8743 0.9608 O
```

Computed properties:
- space group = Pmm2 (25)
- energy relative to the elements, uncorrected (meV/atom) = -3518
- theoretical density (g cm⁻³) = 5.3
- magnetic moment (μB/atom) = 0.00
- E above lowest polymorph (meV per atom) = 0

(4)
Below is SnS3N at its PBEsol-relaxed geometry, with properties calculated at the meta-GGA SCAN level.

Cell and atoms, written as POSCAR:
```
SnS3N
1.0
4.2321 0.0000 0.0000
0.0000 4.2321 0.0000
0.0000 0.0000 4.2321
Sn S N
1 3 1
Cartesian
0.0000 0.0000 0.0000 Sn
0.0000 2.1160 2.1160 S
2.1160 0.0000 2.1160 S
2.1160 2.1160 0.0000 S
2.1160 2.1160 2.1160 N
```

Computed properties:
- space group = Pm-3m (221)
- energy relative to the elements, uncorrected (meV/atom) = 922
- theoretical density (g cm⁻³) = 5.0
- magnetic moment (μB/atom) = 0.00

(5)
Below is As2OsW at its PBEsol-relaxed geometry, with properties calculated at the meta-GGA SCAN level.

Cell and atoms, written as POSCAR:
```
As2OsW
1.0
2.9508 -4.0988 0.0000
2.9508 4.0988 0.0000
-1.3469 0.0000 2.5640
As Os W
2 1 1
Cartesian
1.4754 2.0494 0.0000 As
1.4754 -2.0494 0.0000 As
-0.6735 0.0000 1.2820 Os
2.2773 0.0000 1.2820 W
```

Computed properties:
- space group = C2/m (12)
- theoretical density (g cm⁻³) = 14.0
- DFT formation energy (meV per atom) = 705
- magnetic moment (μB/atom) = 0.00
- E above lowest polymorph (meV per atom) = 409

(6)
Below is Zn3P2O8 at its PBEsol-relaxed geometry, with properties calculated at the meta-GGA SCAN level.

Cell and atoms, written as POSCAR:
```
Zn3P2O8
1.0
4.1157 -2.8102 0.0000
4.1157 2.8102 0.0000
-3.9048 0.0000 14.6453
Zn P O
6 4 16
Cartesian
-1.7759 0.2952 13.6609 Zn
1.1871 1.4053 10.9840 Zn
0.1764 -0.2952 6.3382 Zn
4.1501 0.2952 8.3070 Zn
3.1395 -1.4053 3.6613 Zn
6.1025 -0.2952 0.9844 Zn
-1.1207 0.3946 9.2055 P
0.8317 -0.3946 1.8829 P
3.4949 0.3946 12.7624 P
5.4473 -0.3946 5.4397 P
1.5481 2.6501 9.4714 O
0.8261 2.6501 12.4965 O
1.5381 0.6098 0.9058 O
1.4685 1.0766 6.1691 O
-0.3880 0.4295 10.5424 O
-0.4143 -0.6098 8.2284 O
1.5643 -0.4295 3.2197 O
4.8104 1.0766 1.1535 O
-0.4839 -1.0766 13.4917 O
2.7622 0.4295 11.4256 O
4.7409 0.6098 6.4169 O
4.7146 -0.4295 4.1029 O
2.8581 -1.0766 8.4762 O
2.7885 -0.6098 13.7395 O
3.5005 -2.6501 2.1487 O
2.7785 -2.6501 5.1739 O
```

Computed properties:
- space group = C2/c (15)
- energy relative to the elements, uncorrected (meV/atom) = -2159
- theoretical density (g cm⁻³) = 3.8
- magnetic moment (μB/atom) = 0.00
- E above lowest polymorph (meV per atom) = 0

(7)
Below is Li2MgTl at its PBEsol-relaxed geometry, with properties calculated at the meta-GGA SCAN level.

Cell and atoms, written as POSCAR:
```
Li2MgTl
1.0
-2.3501 2.3501 3.3344
2.3501 -2.3501 3.3344
2.3501 2.3501 -3.3344
Li Mg Tl
2 1 1
Cartesian
2.3501 0.0000 1.6672 Li
0.0000 2.3501 1.6672 Li
0.0000 0.0000 0.0000 Mg
0.0000 0.0000 3.3344 Tl
```

Computed properties:
- space group = I4/mmm (139)
- theoretical density (g cm⁻³) = 5.5
- DFT formation energy (meV per atom) = -314
- magnetic moment (μB/atom) = 0.00

(8)
Below is Ba4FeRh at its PBEsol-relaxed geometry, with properties calculated at the meta-GGA SCAN level.

Cell and atoms, written as POSCAR:
```
Ba4FeRh
1.0
0.0000 4.6879 4.6879
4.6879 0.0000 4.6879
4.6879 4.6879 0.0000
Ba Fe Rh
4 1 1
Cartesian
3.5208 3.5208 3.5208 Ba
5.8550 5.8550 3.5208 Ba
5.8550 3.5208 5.8550 Ba
3.5208 5.8550 5.8550 Ba
0.0000 0.0000 0.0000 Fe
7.0319 7.0319 7.0319 Rh
```

Computed properties:
- space group = F-43m (216)
- theoretical density (g cm⁻³) = 5.7
- DFT formation energy (meV per atom) = 1181
- magnetic moment (μB/atom) = 0.34

(9)
Below is ZnNi2Ir at its PBEsol-relaxed geometry, with properties calculated at the meta-GGA SCAN level.

Cell and atoms, written as POSCAR:
```
ZnNi2Ir
1.0
-1.3367 2.1270 4.2165
1.3367 -2.1270 4.2165
1.3367 2.1270 -4.2165
Zn Ni Ir
1 2 1
Cartesian
0.0000 0.0000 0.0000 Zn
0.0000 0.0000 4.3637 Ni
0.0000 2.1270 2.1524 Ni
1.3367 0.0000 2.2498 Ir
```

Computed properties:
- space group = Imm2 (44)
- theoretical density (g cm⁻³) = 13.0
- DFT formation energy (meV per atom) = -31
- magnetic moment (μB/atom) = 0.00

(10)
Below is Zn3TeRh at its PBEsol-relaxed geometry, with properties calculated at the meta-GGA SCAN level.

Cell and atoms, written as POSCAR:
```
Zn3TeRh
1.0
4.9609 0.0000 0.0000
0.0000 4.9609 0.0000
0.0000 0.0000 4.9609
Zn Te Rh
3 1 1
Cartesian
0.0000 0.0000 2.4805 Zn
0.0000 2.4805 0.0000 Zn
2.4805 0.0000 0.0000 Zn
0.0000 0.0000 0.0000 Te
2.4805 2.4805 2.4805 Rh
```

Computed properties:
- space group = Pm-3m (221)
- energy relative to the elements, uncorrected (meV/atom) = 1325
- theoretical density (g cm⁻³) = 5.8
- magnetic moment (μB/atom) = 0.00

(11)
Below is CrAs2Cl at its PBEsol-relaxed geometry, with properties calculated at the meta-GGA SCAN level.

Cell and atoms, written as POSCAR:
```
CrAs2Cl
1.0
1.7751 -2.6632 0.0000
1.7751 2.6632 0.0000
0.0000 0.0000 8.3429
Cr As Cl
1 2 1
Cartesian
0.0000 0.0000 0.0000 Cr
0.0000 0.0000 4.6594 As
1.7751 0.0000 6.5253 As
1.7751 0.0000 1.6002 Cl
```

Computed properties:
- space group = Cmm2 (35)
- energy relative to the elements, uncorrected (meV/atom) = -67
- theoretical density (g cm⁻³) = 5.0
- magnetic moment (μB/atom) = 1.04
- E above lowest polymorph (meV per atom) = 257

(12)
Below is Ag2As3 at its PBEsol-relaxed geometry, with properties calculated at the meta-GGA SCAN level.

Cell and atoms, written as POSCAR:
```
Ag2As3
1.0
1.7650 1.0190 8.8539
-1.7650 1.0190 8.8539
0.0000 -2.0380 8.8539
Ag As
2 3
Cartesian
0.0000 0.0000 2.6657 Ag
0.0000 0.0000 23.8960 Ag
0.0000 0.0000 8.0912 As
0.0000 0.0000 13.2808 As
0.0000 0.0000 18.4705 As
```

Computed properties:
- space group = R-3m (166)
- theoretical density (g cm⁻³) = 7.7
- DFT formation energy (meV per atom) = 189
- magnetic moment (μB/atom) = 0.00

Copy entry 4 word for word.
Below is SnS3N at its PBEsol-relaxed geometry, with properties calculated at the meta-GGA SCAN level.

Cell and atoms, written as POSCAR:
```
SnS3N
1.0
4.2321 0.0000 0.0000
0.0000 4.2321 0.0000
0.0000 0.0000 4.2321
Sn S N
1 3 1
Cartesian
0.0000 0.0000 0.0000 Sn
0.0000 2.1160 2.1160 S
2.1160 0.0000 2.1160 S
2.1160 2.1160 0.0000 S
2.1160 2.1160 2.1160 N
```

Computed properties:
- space group = Pm-3m (221)
- energy relative to the elements, uncorrected (meV/atom) = 922
- theoretical density (g cm⁻³) = 5.0
- magnetic moment (μB/atom) = 0.00